(1)
Computed, not measured: a PBEsol-optimized structure of RuPtW2 at the SCAN level of DFT.

E above lowest polymorph: 166 meV/atom
Total DFT energy (no corrections): -61.160 eV per atom
M_tot: 0.00 μB/cell

a b c (Å): 3.908 3.908 4.765
angles (deg): 114.21 114.21 90.00
Atoms (fractional coordinates):
Pt: 0.000 0.000 0.000
Ru: 0.250 0.750 0.500
W: 0.500 0.500 0.000
W: 0.750 0.250 0.500

---

(2)
Computed, not measured: a PBEsol-optimized structure of HgRhPb2 at the SCAN level of DFT.

Total DFT energy (no corrections): -63.318 eV per atom
M_tot: 0.00 μB/cell

a b c (Å): 3.506 3.506 8.966
angles (deg): 78.73 78.73 60.00
Atoms (fractional coordinates):
Pb: 0.238 0.238 0.287
Pb: 0.762 0.762 0.713
Rh: 0.500 0.500 0.500
Hg: 0.000 0.000 0.000

---

(3)
Computed, not measured: a PBEsol-optimized structure of Y2Ge2Bi at the SCAN level of DFT.

Total DFT energy (no corrections): -35.260 eV per atom
M_tot: 0.00 μB/cell

a b c (Å): 4.066 7.596 7.596
angles (deg): 90.00 90.00 90.00
Atoms (fractional coordinates):
Y: 0.500 0.179 0.679
Y: 0.500 0.679 0.821
Y: 0.500 0.821 0.321
Y: 0.500 0.321 0.179
Ge: 0.000 0.383 0.883
Ge: 0.000 0.883 0.617
Ge: 0.000 0.617 0.117
Ge: 0.000 0.117 0.383
Bi: 0.000 0.000 0.000
Bi: 0.000 0.500 0.500

---

Table of calculated formation energy (meV/atom), in record order: -61.4; 56.8; -772.2